Here is a relaxed structure of PmZn12Pt6 from the Alexandria database. Energies are from PBE.

Cell: 7.181 7.181 7.181 Å, 104.86 104.86 104.86°
Atoms (fractional coordinates):
Zn (0.890, 0.110, 0.500)
Zn (0.137, 0.392, 0.392)
Zn (0.500, 0.890, 0.110)
Zn (0.608, 0.863, 0.608)
Zn (0.392, 0.137, 0.392)
Zn (0.110, 0.890, 0.500)
Zn (0.863, 0.608, 0.608)
Zn (0.890, 0.500, 0.110)
Zn (0.608, 0.608, 0.863)
Zn (0.500, 0.110, 0.890)
Zn (0.110, 0.500, 0.890)
Zn (0.392, 0.392, 0.137)
Pt (0.293, 0.721, 0.721)
Pt (0.279, 0.279, 0.707)
Pt (0.721, 0.293, 0.721)
Pt (0.721, 0.721, 0.293)
Pt (0.707, 0.279, 0.279)
Pt (0.279, 0.707, 0.279)
Pm (0.000, 0.000, 0.000)

Properties
Energy of formation   -401 meV/atom
Density of states at the Fermi level   7.3 states/eV/cell
Raw total energy   -63.91 eV for the cell shown



Here is a relaxed structure of PmZn11Pt from the Alexandria database. Energies are from PBE.

Cell: 5.239 6.871 6.862 Å, 81.39 67.56 66.91°
Atoms (fractional coordinates):
Zn (0.014, 0.645, 0.353)
Zn (0.499, 0.217, 0.779)
Zn (0.000, 0.000, 0.500)
Zn (0.367, 0.645, 0.647)
Zn (0.000, 0.500, 0.000)
Zn (0.278, 0.217, 0.221)
Zn (0.722, 0.783, 0.779)
Zn (0.500, 0.000, 0.500)
Zn (0.501, 0.783, 0.221)
Zn (0.986, 0.355, 0.647)
Zn (0.633, 0.355, 0.353)
Pt (0.500, 0.500, 0.000)
Pm (0.000, 0.000, 0.000)

Properties
Energy of formation   -281 meV/atom
Density of states at the Fermi level   4.0 states/eV/cell
Raw total energy   -28.46 eV for the cell shown



Here is a relaxed structure of Pm8Zn2Pt from the Alexandria database. Energies are from PBE.

Cell: 5.195 6.823 9.457 Å, 100.52 105.94 90.00°
Atoms (fractional coordinates):
Pm (0.202, 0.321, 0.405)
Pm (0.658, 0.962, 0.316)
Pm (0.590, 0.442, 0.180)
Pm (0.027, 0.775, 0.054)
Pm (0.973, 0.225, 0.946)
Pm (0.798, 0.679, 0.595)
Pm (0.410, 0.558, 0.820)
Pm (0.342, 0.038, 0.684)
Zn (0.806, 0.253, 0.613)
Zn (0.194, 0.747, 0.387)
Pt (0.500, 0.000, 0.000)

Properties
Energy of formation   -295 meV/atom
Density of states at the Fermi level   10.1 states/eV/cell
Raw total energy   -49.83 eV for the cell shown



Here is a relaxed structure of PmZnPt from the Alexandria database. Energies are from PBE.

Cell: 7.251 7.251 6.900 Å, 107.10 107.10 116.13°
Atoms (fractional coordinates):
Pt (0.820, 0.180, 0.000)
Pt (0.180, 0.820, 0.000)
Pt (0.430, 0.570, 0.500)
Pt (0.070, 0.930, 0.500)
Zn (0.128, 0.628, 0.257)
Zn (0.122, 0.122, 0.243)
Zn (0.878, 0.878, 0.757)
Zn (0.372, 0.872, 0.743)
Pm (0.625, 0.375, 0.250)
Pm (0.625, 0.375, 0.750)
Pm (0.125, 0.375, 0.750)
Pm (0.625, 0.875, 0.250)

Properties
Energy of formation   -589 meV/atom
Density of states at the Fermi level   8.2 states/eV/cell
Raw total energy   -55.33 eV for the cell shown
E above lowest polymorph   0.326 eV per atom



Here is a relaxed structure of Pm4ZnPt from the Alexandria database. Energies are from PBE.

Cell: 5.001 5.001 7.161 Å, 89.92 89.97 90.00°
Atoms (fractional coordinates):
Pm (0.001, 0.497, 0.254)
Pm (0.501, 0.997, 0.254)
Pm (0.002, 0.498, 0.742)
Pm (0.502, 0.998, 0.742)
Zn (0.501, 0.497, 0.998)
Pt (0.001, 0.997, 0.498)

Properties
Energy of formation   -351 meV/atom
Density of states at the Fermi level   9.8 states/eV/cell
Raw total energy   -28.42 eV for the cell shown
E above lowest polymorph   0.163 eV per atom



Here is a relaxed structure of Pm3Zn2Pt3 from the Alexandria database. Energies are from PBE.

Cell: 5.746 8.465 8.465 Å, 120.00 90.00 90.00°
Atoms (fractional coordinates):
Zn (0.500, 0.667, 0.333)
Zn (0.500, 0.333, 0.667)
Zn (0.000, 0.333, 0.667)
Zn (0.000, 0.667, 0.333)
Pm (0.250, 0.721, 0.000)
Pm (0.750, 0.279, 0.000)
Pm (0.750, 0.721, 0.721)
Pm (0.250, 0.000, 0.721)
Pm (0.250, 0.279, 0.279)
Pm (0.750, 0.000, 0.279)
Pt (0.750, 0.000, 0.613)
Pt (0.250, 0.000, 0.387)
Pt (0.750, 0.613, 0.000)
Pt (0.250, 0.387, 0.000)
Pt (0.250, 0.613, 0.613)
Pt (0.750, 0.387, 0.387)

Properties
Energy of formation   -836 meV/atom
Density of states at the Fermi level   9.5 states/eV/cell
Raw total energy   -83.22 eV for the cell shown
E above lowest polymorph   0.093 eV per atom



Here is a relaxed structure of Pm3Zn2Pt6 from the Alexandria database. Energies are from PBE.

Cell: 8.341 8.341 8.341 Å, 109.47 109.47 109.47°
Atoms (fractional coordinates):
Pm (0.698, 0.698, 0.000)
Pm (0.000, 0.698, 0.698)
Pm (0.000, 0.302, 0.302)
Pm (0.302, 0.302, 0.000)
Pm (0.302, 0.000, 0.302)
Pm (0.698, 0.000, 0.698)
Pt (0.326, 0.000, 0.674)
Pt (0.674, 0.000, 0.326)
Pt (0.000, 0.674, 0.326)
Pt (0.653, 0.326, 0.326)
Pt (0.674, 0.674, 0.347)
Pt (0.674, 0.326, 0.000)
Pt (0.326, 0.653, 0.326)
Pt (0.000, 0.326, 0.674)
Pt (0.326, 0.674, 0.000)
Pt (0.347, 0.674, 0.674)
Pt (0.326, 0.326, 0.653)
Pt (0.674, 0.347, 0.674)
Zn (0.500, 0.500, 0.500)
Zn (0.000, 0.000, 0.500)
Zn (0.500, 0.000, 0.000)
Zn (0.000, 0.500, 0.000)

Properties
Energy of formation   -940 meV/atom
Density of states at the Fermi level   9.7 states/eV/cell
Raw total energy   -126.78 eV for the cell shown



Here is a relaxed structure of Pm2ZnPt from the Alexandria database. Energies are from PBE.

Cell: 3.651 3.651 7.139 Å, 90.00 90.00 90.00°
Atoms (fractional coordinates):
Pm (0.000, 0.000, 0.241)
Pm (0.000, 0.000, 0.759)
Zn (0.500, 0.500, 0.500)
Pt (0.500, 0.500, 0.000)

Properties
Energy of formation   -708 meV/atom
Density of states at the Fermi level   4.2 states/eV/cell
Raw total energy   -19.65 eV for the cell shown
E above lowest polymorph   0.051 eV per atom



What did the sixth record say?
Here is a relaxed structure of Pm3Zn2Pt3 from the Alexandria database. Energies are from PBE.

Cell: 5.746 8.465 8.465 Å, 120.00 90.00 90.00°
Atoms (fractional coordinates):
Zn (0.500, 0.667, 0.333)
Zn (0.500, 0.333, 0.667)
Zn (0.000, 0.333, 0.667)
Zn (0.000, 0.667, 0.333)
Pm (0.250, 0.721, 0.000)
Pm (0.750, 0.279, 0.000)
Pm (0.750, 0.721, 0.721)
Pm (0.250, 0.000, 0.721)
Pm (0.250, 0.279, 0.279)
Pm (0.750, 0.000, 0.279)
Pt (0.750, 0.000, 0.613)
Pt (0.250, 0.000, 0.387)
Pt (0.750, 0.613, 0.000)
Pt (0.250, 0.387, 0.000)
Pt (0.250, 0.613, 0.613)
Pt (0.750, 0.387, 0.387)

Properties
Energy of formation   -836 meV/atom
Density of states at the Fermi level   9.5 states/eV/cell
Raw total energy   -83.22 eV for the cell shown
E above lowest polymorph   0.093 eV per atom